# 1
VASP calculation (GGA-PBE) on a geometry-optimized Sr2CdF structure.

Summary:
SG: Fm-3m
Distance to the lowest polymorph of the same formula (meV per atom): 457

a b c (Å): 5.5855 5.5855 5.5855
angles (deg): 60.00 60.00 60.00
Last column: nearest neighbours and their distance in Å.
Fractional positions:
Sr: 0.2500 0.2500 0.2500  4 F 3.42, 4 Cd 3.42
Sr: 0.7500 0.7500 0.7500  4 F 3.42, 4 Cd 3.42
Cd: 0.0000 0.0000 0.0000  8 Sr 3.42
F: 0.5000 0.5000 0.5000  8 Sr 3.42



# 2
VASP calculation (GGA-PBE) on a geometry-optimized Sr2CdF structure.

Summary:
SG: R-3m
Distance to the lowest polymorph of the same formula (meV per atom): 417

a b c (Å): 10.2481 10.2481 10.2481
angles (deg): 22.45 22.45 22.45
Last column: nearest neighbours and their distance in Å.
Fractional positions:
Sr: 0.1128 0.1128 0.1128  3 F 2.81
Sr: 0.8872 0.8872 0.8872  3 F 2.81
Cd: 0.0000 0.0000 0.0000  2 Sr 3.38
F: 0.5000 0.5000 0.5000  6 Sr 2.81



# 3
VASP calculation (GGA-PBE) on a geometry-optimized SrCdF4 structure.

Summary:
SG: C2/m

a b c (Å): 4.0055 4.0055 5.6940
angles (deg): 90.31 90.31 90.00
Last column: nearest neighbours and their distance in Å.
Fractional positions:
Sr: 0.0000 0.0000 0.0000  8 F 2.50
Cd: 0.5000 0.5000 0.5000  8 F 2.41-2.43
F: 0.0019 0.5020 0.2623  2 Cd 2.41-2.43, 2 Sr 2.50
F: 0.4980 0.9981 0.7377  2 Cd 2.41-2.43, 2 Sr 2.50
F: 0.5020 0.0019 0.2623  2 Cd 2.41-2.43, 2 Sr 2.50
F: 0.9981 0.4980 0.7377  2 Cd 2.41-2.43, 2 Sr 2.50



# 4
VASP calculation (GGA-PBE) on a geometry-optimized SrCd2F structure.

Summary:
SG: Fm-3m
Distance to the lowest polymorph of the same formula (meV per atom): 532

a b c (Å): 5.3750 5.3750 5.3750
angles (deg): 60.00 60.00 60.00
Last column: nearest neighbours and their distance in Å.
Fractional positions:
Sr: 0.0000 0.0000 0.0000  8 Cd 3.29
Cd: 0.2500 0.2500 0.2500  4 F 3.29, 4 Sr 3.29
Cd: 0.7500 0.7500 0.7500  4 F 3.29, 4 Sr 3.29
F: 0.5000 0.5000 0.5000  8 Cd 3.29



# 5
VASP calculation (GGA-PBE) on a geometry-optimized SrCd3F6 structure.

Summary:
SG: P2_1/c

a b c (Å): 6.2486 6.4552 9.7079
angles (deg): 90.00 122.38 90.00
Last column: nearest neighbours and their distance in Å.
Fractional positions:
Sr: 0.0000 0.0000 0.0000  6 F 2.41-2.48
Sr: 0.0000 0.5000 0.5000  6 F 2.41-2.48
Cd: 0.3540 0.0001 0.8188  5 F 2.36-2.64
Cd: 0.3540 0.4999 0.3188  5 F 2.36-2.64
Cd: 0.5000 0.0000 0.5000  6 F 2.28-2.37
Cd: 0.5000 0.5000 0.0000  6 F 2.28-2.37
Cd: 0.6460 0.9999 0.1812  5 F 2.36-2.64
Cd: 0.6460 0.5001 0.6812  5 F 2.36-2.64
F: 0.0981 0.0020 0.2759  2 Cd 2.28-2.46, 1 Sr 2.41
F: 0.0981 0.4980 0.7759  2 Cd 2.28-2.46, 1 Sr 2.41
F: 0.3037 0.7080 0.1027  3 Cd 2.37-2.64, 1 Sr 2.47, 1 F 2.63
F: 0.3037 0.7920 0.6027  3 Cd 2.37-2.64, 1 Sr 2.47, 1 F 2.63
F: 0.3053 0.2087 0.6035  3 Cd 2.36-2.63, 1 Sr 2.48, 1 F 2.63
F: 0.3053 0.2913 0.1035  3 Cd 2.36-2.63, 1 Sr 2.48, 1 F 2.63
F: 0.6947 0.7087 0.8965  3 Cd 2.36-2.63, 1 Sr 2.48, 1 F 2.63
F: 0.6947 0.7913 0.3965  3 Cd 2.36-2.63, 1 Sr 2.48, 1 F 2.63
F: 0.6963 0.2080 0.3973  3 Cd 2.37-2.64, 1 Sr 2.47, 1 F 2.63
F: 0.6963 0.2920 0.8973  3 Cd 2.37-2.64, 1 Sr 2.47, 1 F 2.63
F: 0.9019 0.5020 0.2241  2 Cd 2.28-2.46, 1 Sr 2.41
F: 0.9019 0.9980 0.7241  2 Cd 2.28-2.46, 1 Sr 2.41



# 6
VASP calculation (GGA-PBE) on a geometry-optimized Sr3Cd5F12 structure.

Summary:
SG: Ia-3d

a b c (Å): 12.3532 12.3532 12.3532
angles (deg): 109.47 109.47 109.47
Last column: nearest neighbours and their distance in Å.
Fractional positions:
Sr: 0.1250 0.2500 0.3750  8 F 2.60-2.65
Sr: 0.1250 0.3750 0.7500  8 F 2.60-2.65
Sr: 0.2500 0.3750 0.1250  8 F 2.60-2.65
Sr: 0.2500 0.8750 0.6250  8 F 2.60-2.65
Sr: 0.3750 0.1250 0.2500  8 F 2.60-2.65
Sr: 0.3750 0.7500 0.1250  8 F 2.60-2.65
Sr: 0.6250 0.2500 0.8750  8 F 2.60-2.65
Sr: 0.6250 0.8750 0.7500  8 F 2.60-2.65
Sr: 0.7500 0.1250 0.3750  8 F 2.60-2.65
Sr: 0.7500 0.6250 0.8750  8 F 2.60-2.65
Sr: 0.8750 0.6250 0.2500  8 F 2.60-2.65
Sr: 0.8750 0.7500 0.6250  8 F 2.60-2.65
Cd: 0.0000 0.0000 0.0000  6 F 2.34
Cd: 0.0000 0.0000 0.5000  6 F 2.34
Cd: 0.0000 0.5000 0.0000  6 F 2.34
Cd: 0.0000 0.5000 0.5000  6 F 2.34
Cd: 0.1250 0.7500 0.8750  4 F 2.38
Cd: 0.1250 0.8750 0.2500  4 F 2.38
Cd: 0.2500 0.1250 0.8750  4 F 2.38
Cd: 0.2500 0.6250 0.3750  4 F 2.38
Cd: 0.3750 0.2500 0.6250  4 F 2.38
Cd: 0.3750 0.6250 0.7500  4 F 2.38
Cd: 0.5000 0.0000 0.0000  6 F 2.34
Cd: 0.5000 0.0000 0.5000  6 F 2.34
Cd: 0.5000 0.5000 0.0000  6 F 2.34
Cd: 0.5000 0.5000 0.5000  6 F 2.34
Cd: 0.6250 0.3750 0.2500  4 F 2.38
Cd: 0.6250 0.7500 0.3750  4 F 2.38
Cd: 0.7500 0.3750 0.6250  4 F 2.38
Cd: 0.7500 0.8750 0.1250  4 F 2.38
Cd: 0.8750 0.1250 0.7500  4 F 2.38
Cd: 0.8750 0.2500 0.1250  4 F 2.38
F: 0.0564 0.2176 0.1346  2 Cd 2.34-2.38, 1 Sr 2.60
F: 0.0564 0.3389 0.9219  2 Cd 2.34-2.38, 1 Sr 2.60
F: 0.0781 0.6346 0.4170  2 Cd 2.34-2.38, 1 Sr 2.60
F: 0.0781 0.9436 0.6611  2 Cd 2.34-2.38, 1 Sr 2.60
F: 0.0830 0.7176 0.6611  2 Cd 2.34-2.38, 1 Sr 2.60
F: 0.0830 0.8654 0.4219  2 Cd 2.34-2.38, 1 Sr 2.60
F: 0.1346 0.0564 0.2176  2 Cd 2.34-2.38, 1 Sr 2.60
F: 0.1346 0.5781 0.9170  2 Cd 2.34-2.38, 1 Sr 2.60
F: 0.1611 0.2176 0.5830  2 Cd 2.34-2.38, 1 Sr 2.60
F: 0.1611 0.4436 0.5781  2 Cd 2.34-2.38, 1 Sr 2.60
F: 0.2176 0.1346 0.0564  2 Cd 2.34-2.38, 1 Sr 2.60
F: 0.2176 0.5830 0.1611  2 Cd 2.34-2.38, 1 Sr 2.60
F: 0.2824 0.3389 0.9170  2 Cd 2.34-2.38, 1 Sr 2.60
F: 0.2824 0.4436 0.3654  2 Cd 2.34-2.38, 1 Sr 2.60
F: 0.3389 0.9170 0.2824  2 Cd 2.34-2.38, 1 Sr 2.60
F: 0.3389 0.9219 0.0564  2 Cd 2.34-2.38, 1 Sr 2.60
F: 0.3654 0.2824 0.4436  2 Cd 2.34-2.38, 1 Sr 2.60
F: 0.3654 0.5830 0.9219  2 Cd 2.34-2.38, 1 Sr 2.60
F: 0.4170 0.0781 0.6346  2 Cd 2.34-2.38, 1 Sr 2.60
F: 0.4170 0.8389 0.7824  2 Cd 2.34-2.38, 1 Sr 2.60
F: 0.4219 0.0830 0.8654  2 Cd 2.34-2.38, 1 Sr 2.60
F: 0.4219 0.8389 0.5564  2 Cd 2.34-2.38, 1 Sr 2.60
F: 0.4436 0.3654 0.2824  2 Cd 2.34-2.38, 1 Sr 2.60
F: 0.4436 0.5781 0.1611  2 Cd 2.34-2.38, 1 Sr 2.60
F: 0.5564 0.4219 0.8389  2 Cd 2.34-2.38, 1 Sr 2.60
F: 0.5564 0.6346 0.7176  2 Cd 2.34-2.38, 1 Sr 2.60
F: 0.5781 0.1611 0.4436  2 Cd 2.34-2.38, 1 Sr 2.60
F: 0.5781 0.9170 0.1346  2 Cd 2.34-2.38, 1 Sr 2.60
F: 0.5830 0.1611 0.2176  2 Cd 2.34-2.38, 1 Sr 2.60
F: 0.5830 0.9219 0.3654  2 Cd 2.34-2.38, 1 Sr 2.60
F: 0.6346 0.4170 0.0781  2 Cd 2.34-2.38, 1 Sr 2.60
F: 0.6346 0.7176 0.5564  2 Cd 2.34-2.38, 1 Sr 2.60
F: 0.6611 0.0781 0.9436  2 Cd 2.34-2.38, 1 Sr 2.60
F: 0.6611 0.0830 0.7176  2 Cd 2.34-2.38, 1 Sr 2.60
F: 0.7176 0.5564 0.6346  2 Cd 2.34-2.38, 1 Sr 2.60
F: 0.7176 0.6611 0.0830  2 Cd 2.34-2.38, 1 Sr 2.60
F: 0.7824 0.4170 0.8389  2 Cd 2.34-2.38, 1 Sr 2.60
F: 0.7824 0.8654 0.9436  2 Cd 2.34-2.38, 1 Sr 2.60
F: 0.8389 0.5564 0.4219  2 Cd 2.34-2.38, 1 Sr 2.60
F: 0.8389 0.7824 0.4170  2 Cd 2.34-2.38, 1 Sr 2.60
F: 0.8654 0.4219 0.0830  2 Cd 2.34-2.38, 1 Sr 2.60
F: 0.8654 0.9436 0.7824  2 Cd 2.34-2.38, 1 Sr 2.60
F: 0.9170 0.1346 0.5781  2 Cd 2.34-2.38, 1 Sr 2.60
F: 0.9170 0.2824 0.3389  2 Cd 2.34-2.38, 1 Sr 2.60
F: 0.9219 0.0564 0.3389  2 Cd 2.34-2.38, 1 Sr 2.60
F: 0.9219 0.3654 0.5830  2 Cd 2.34-2.38, 1 Sr 2.60
F: 0.9436 0.6611 0.0781  2 Cd 2.34-2.38, 1 Sr 2.60
F: 0.9436 0.7824 0.8654  2 Cd 2.34-2.38, 1 Sr 2.60



# 7
VASP calculation (GGA-PBE) on a geometry-optimized SrCd3F structure.

Summary:
SG: Pm-3m
Distance to the lowest polymorph of the same formula (meV per atom): 0

a b c (Å): 5.1551 5.1551 5.1551
angles (deg): 90.00 90.00 90.00
Last column: nearest neighbours and their distance in Å.
Fractional positions:
Sr: 0.0000 0.0000 0.0000  12 Cd 3.65
Cd: 0.0000 0.5000 0.5000  2 F 2.58
Cd: 0.5000 0.0000 0.5000  2 F 2.58
Cd: 0.5000 0.5000 0.0000  2 F 2.58
F: 0.5000 0.5000 0.5000  6 Cd 2.58



# 8
VASP calculation (GGA-PBE) on a geometry-optimized Sr2CdF structure.

Summary:
SG: I-42d
Distance to the lowest polymorph of the same formula (meV per atom): 0

a b c (Å): 6.9235 6.9235 6.9235
angles (deg): 113.26 113.26 102.13
Last column: nearest neighbours and their distance in Å.
Fractional positions:
Sr: 0.0354 0.6250 0.9104  2 F 2.51
Sr: 0.3750 0.2854 0.4104  2 F 2.51
Sr: 0.7146 0.1250 0.0896  2 F 2.51
Sr: 0.8750 0.9646 0.5896  2 F 2.51
Cd: 0.2500 0.7500 0.5000  4 Sr 3.39
Cd: 0.5000 0.5000 0.0000  4 Sr 3.39
F: 0.0000 0.0000 0.0000  4 Sr 2.51
F: 0.7500 0.2500 0.5000  4 Sr 2.51



# 9
VASP calculation (GGA-PBE) on a geometry-optimized Sr2CdF6 structure.

Summary:
SG: P2_1/c
Distance to the lowest polymorph of the same formula (meV per atom): 80

a b c (Å): 6.0488 6.2821 9.6826
angles (deg): 90.00 118.09 90.00
Last column: nearest neighbours and their distance in Å.
Fractional positions:
Sr: 0.1863 0.0851 0.2301  7 F 2.43-2.70
Sr: 0.1863 0.4149 0.7301  7 F 2.43-2.70
Sr: 0.8137 0.5851 0.2699  7 F 2.43-2.70
Sr: 0.8137 0.9149 0.7699  7 F 2.43-2.70
Cd: 0.5000 0.0000 0.0000  6 F 2.20-2.30
Cd: 0.5000 0.5000 0.5000  6 F 2.20-2.30
F: 0.1419 0.1736 0.9453  1 Cd 2.25, 1 Sr 2.51
F: 0.1419 0.3264 0.4453  1 Cd 2.25, 1 Sr 2.51
F: 0.2200 0.7241 0.8895  1 Cd 2.30, 2 Sr 2.43-2.48
F: 0.2200 0.7759 0.3895  1 Cd 2.30, 2 Sr 2.43-2.48
F: 0.4580 0.1059 0.7720  1 Cd 2.20, 1 Sr 2.45
F: 0.4580 0.3941 0.2720  1 Cd 2.20, 1 Sr 2.45
F: 0.5420 0.6059 0.7280  1 Cd 2.20, 1 Sr 2.45
F: 0.5420 0.8941 0.2280  1 Cd 2.20, 1 Sr 2.45
F: 0.7800 0.2241 0.6105  1 Cd 2.30, 2 Sr 2.43-2.48
F: 0.7800 0.2759 0.1105  1 Cd 2.30, 2 Sr 2.43-2.48
F: 0.8581 0.6736 0.5547  1 Cd 2.25, 1 Sr 2.51
F: 0.8581 0.8264 0.0547  1 Cd 2.25, 1 Sr 2.51



# 10
VASP calculation (GGA-PBE) on a geometry-optimized SrCd2F structure.

Summary:
SG: I-42d
Distance to the lowest polymorph of the same formula (meV per atom): 0

a b c (Å): 7.5141 7.5141 7.5141
angles (deg): 95.69 95.69 143.28
Last column: nearest neighbours and their distance in Å.
Fractional positions:
Sr: 0.0000 0.0000 0.0000  2 F 2.37
Sr: 0.7500 0.2500 0.5000  2 F 2.37
Cd: 0.2042 0.6250 0.0792  2 Cd 2.85, 2 F 3.11
Cd: 0.3750 0.4542 0.5792  2 Cd 2.85, 2 F 3.11
Cd: 0.5458 0.1250 0.9208  2 Cd 2.85, 2 F 3.11
Cd: 0.8750 0.7958 0.4208  2 Cd 2.85, 2 F 3.11
F: 0.2500 0.7500 0.5000  2 Sr 2.37
F: 0.5000 0.5000 0.0000  2 Sr 2.37



# 11
VASP calculation (GGA-PBE) on a geometry-optimized SrCd3F structure.

Summary:
SG: Pm-3m
Distance to the lowest polymorph of the same formula (meV per atom): 701

a b c (Å): 6.6290 6.6290 6.6290
angles (deg): 90.00 90.00 90.00
Last column: nearest neighbours and their distance in Å.
Fractional positions:
Sr: 0.0000 0.0000 0.0000  6 Cd 3.31
Cd: 0.0000 0.0000 0.5000  2 Sr 3.31
Cd: 0.0000 0.5000 0.0000  2 Sr 3.31
Cd: 0.5000 0.0000 0.0000  2 Sr 3.31
F: 0.5000 0.5000 0.5000  12 Cd 4.69



# 12
VASP calculation (GGA-PBE) on a geometry-optimized Sr2TlCdF8 structure.

Summary:
SG: P2/m

a b c (Å): 4.0940 8.2007 5.7170
angles (deg): 90.00 90.11 90.00
Last column: nearest neighbours and their distance in Å.
Fractional positions:
Sr: 0.0000 0.2421 0.0000  8 F 2.49-2.57
Sr: 0.0000 0.7579 0.0000  8 F 2.49-2.57
Tl: 0.5000 0.5000 0.5000  8 F 2.48-2.57
Cd: 0.5000 0.0000 0.5000  8 F 2.39-2.46
F: 0.0000 0.5000 0.2548  2 Tl 2.48, 2 Sr 2.57
F: 0.0000 0.5000 0.7452  2 Tl 2.48, 2 Sr 2.57
F: 0.0016 0.0000 0.2624  2 Cd 2.45-2.46, 2 Sr 2.49, 1 F 2.72
F: 0.4991 0.2365 0.7446  1 Cd 2.39, 2 Sr 2.51-2.52, 1 Tl 2.57
F: 0.4991 0.7635 0.7446  1 Cd 2.39, 2 Sr 2.51-2.52, 1 Tl 2.57
F: 0.5009 0.2365 0.2554  1 Cd 2.39, 2 Sr 2.51-2.52, 1 Tl 2.57
F: 0.5009 0.7635 0.2554  1 Cd 2.39, 2 Sr 2.51-2.52, 1 Tl 2.57
F: 0.9984 0.0000 0.7376  2 Cd 2.45-2.46, 2 Sr 2.49, 1 F 2.72



| no. | formation energy from raw total energies (eV/atom) | density of states at the Fermi level (states/eV/f.u.) | size of the total moment (μB per cell) |
| --- | --- | --- | --- |
| 1 | -1.009 | 4.25 | 0.00 |
| 2 | -1.050 | 2.93 | 1.05 |
| 3 | -3.056 | 0.00 | 0.00 |
| 4 | -0.640 | 2.21 | 0.00 |
| 5 | -2.326 | 0.00 | 0.00 |
| 6 | -2.522 | 5.14 | 0.00 |
| 7 | -0.601 | 1.69 | 0.00 |
| 8 | -1.467 | 1.44 | 0.00 |
| 9 | -3.274 | 0.00 | 0.00 |
| 10 | -1.172 | 2.28 | 0.00 |
| 11 | 0.100 | 2.54 | 0.00 |
| 12 | -2.940 | 1.23 | 0.00 |